No. 1
{
  "formula": "TbDy2In",
  "functional": "PBE",
  "state": "relaxed",
  "lattice": [[-3.783, -2.516, -3.011], [-3.651, -3.270, 2.385], [-5.219, 1.534, 0.342]],
  "species": ["In", "Tb", "Dy", "Dy"],
  "fractional_positions": [[0.500, 0.500, 0.500], [0.000, 0.000, 0.000], [0.750, 0.750, 0.750], [0.250, 0.250, 0.250]],
  "mass_density_g_cm3": 8.68
}

---

No. 2
{
  "formula": "Li2ZrCu",
  "functional": "PBE",
  "state": "relaxed",
  "lattice": [[3.766, 0.000, 0.000], [0.000, 3.766, 0.000], [1.883, 1.883, 10.088]],
  "species": ["Zr", "Zr", "Li", "Li", "Li", "Li", "Cu", "Cu"],
  "fractional_positions": [[0.000, 0.000, 0.000], [0.750, 0.250, 0.500], [0.581, 0.125, 0.250], [0.169, 0.625, 0.250], [0.375, 0.419, 0.750], [0.875, 0.831, 0.750], [0.500, 0.500, 0.000], [0.250, 0.750, 0.500]],
  "mass_density_g_cm3": 3.91
}

---

No. 3
{
  "formula": "PmPrAlTl",
  "functional": "PBE",
  "state": "relaxed",
  "lattice": [[-3.512, -3.145, 2.659], [1.792, -4.192, 2.917], [-0.229, 0.169, 5.405]],
  "species": ["Pm", "Pr", "Tl", "Al"],
  "fractional_positions": [[0.250, 0.250, 0.250], [0.750, 0.750, 0.750], [0.000, 0.000, 0.000], [0.500, 0.500, 0.500]],
  "mass_density_g_cm3": 7.66
}

---

No. 4
{
  "formula": "KSrHgPd",
  "functional": "PBE",
  "state": "relaxed",
  "lattice": [[5.538, 0.000, 0.000], [2.769, 4.796, 0.000], [2.769, 1.599, 4.522]],
  "species": ["K", "Pd", "Sr", "Hg"],
  "fractional_positions": [[0.250, 0.250, 0.250], [0.000, 0.000, 0.000], [0.750, 0.750, 0.750], [0.500, 0.500, 0.500]],
  "mass_density_g_cm3": 6.00
}

---

No. 5
{
  "formula": "TbNdHoTh",
  "functional": "PBE",
  "state": "relaxed",
  "lattice": [[5.702, 0.000, 0.000], [2.851, 4.938, 0.000], [2.851, 1.646, 4.656]],
  "species": ["Ho", "Th", "Tb", "Nd"],
  "fractional_positions": [[0.000, 0.000, 0.000], [0.250, 0.250, 0.250], [0.500, 0.500, 0.500], [0.750, 0.750, 0.750]],
  "mass_density_g_cm3": 8.87
}

---

No. 6
{
  "formula": "FeReRh2",
  "functional": "PBE",
  "state": "relaxed",
  "lattice": [[8.865, -0.007, -0.004], [8.448, 2.687, -0.004], [8.448, 1.307, 2.347]],
  "species": ["Rh", "Rh", "Re", "Fe"],
  "fractional_positions": [[0.002, 0.002, 0.002], [0.246, 0.246, 0.246], [0.751, 0.751, 0.751], [0.501, 0.501, 0.501]],
  "mass_density_g_cm3": 13.24
}

---

no.,DOS at the Fermi energy (states/eV/atom),total moment (μB/f.u.),ΔH_f (0 K) (meV per atom)
1,1.540,1.28,-118
2,1.574,0.00,308
3,0.394,0.00,-345
4,0.643,0.00,-233
5,2.142,0.00,146
6,0.934,3.25,35